# Rb2YI | Alexandria via LeMat-Bulk | PBE-GGA | optimized geometry
# Crystal system: tetragonal
# VASP energy: -9.841 eV/f.u.
# N(E_F): 6.20 states/eV/f.u.
data_Rb2YI
_chemical_formula_sum 'Rb8 Y4 I4'
_space_group_name_H-M_alt 'I -4 2 d'
_space_group_IT_number 122
_space_group_name_Hall 'I -4 2bw'
_cell_length_a 12.6018
_cell_length_b 12.6018
_cell_length_c 6.0885
_cell_angle_alpha 90.00
_cell_angle_beta 90.00
_cell_angle_gamma 90.00
loop_
_atom_site_label
_atom_site_type_symbol
_atom_site_fract_x
_atom_site_fract_y
_atom_site_fract_z
Rb1 Rb 0.1367 0.2500 0.1250
Y1 Y 0.0000 0.0000 0.5000
I1 I 0.0000 0.0000 0.0000